--- 1 ---
Compound: SrGeS3
Source: Alexandria
Functional: PBE-GGA
Structure: relaxed

Output
- calculated volume (Å³/atom) = 26.72
- mass density (g cm⁻³) = 3.19
- magnetic moment (μB/cell) = 0.00
- density of states at the Fermi level (states/eV per cell) = 0.00

The structure in CIF format:
```
data_SrGeS3
_chemical_formula_sum 'Sr4 Ge4 S12'
_cell_length_a 7.8245
_cell_length_b 6.2502
_cell_length_c 11.6348
_cell_angle_alpha 90.00
_cell_angle_beta 110.07
_cell_angle_gamma 90.00
_symmetry_space_group_name_H-M 'P 1 21/c 1'
_symmetry_Int_Tables_number 14
_symmetry_space_group_name_Hall '-P 2ybc'
loop_
_atom_site_label
_atom_site_fract_x
_atom_site_fract_y
_atom_site_fract_z
Sr1 0.2067 0.2230 0.1294
Ge1 0.4130 0.7435 0.0099
S1 0.1624 0.7269 0.0592
S2 0.3162 0.0869 0.8964
S3 0.4427 0.5641 0.8500
```



--- 2 ---
Compound: SrGeS3
Source: Alexandria
Functional: PBE-GGA
Structure: relaxed

Output
- calculated volume (Å³/atom) = 33.02
- mass density (g cm⁻³) = 2.58
- magnetic moment (μB/cell) = 2.00
- density of states at the Fermi level (states/eV per cell) = 5.40

The structure in CIF format:
```
data_SrGeS3
_chemical_formula_sum 'Sr1 Ge1 S3'
_cell_length_a 5.4861
_cell_length_b 5.4861
_cell_length_c 5.4861
_cell_angle_alpha 90.00
_cell_angle_beta 90.00
_cell_angle_gamma 90.00
_symmetry_space_group_name_H-M 'P m -3 m'
_symmetry_Int_Tables_number 221
_symmetry_space_group_name_Hall '-P 4 2 3'
loop_
_atom_site_label
_atom_site_fract_x
_atom_site_fract_y
_atom_site_fract_z
Sr1 0.0000 0.0000 0.0000
Ge1 0.5000 0.5000 0.5000
S1 0.0000 0.0000 0.5000
```



Which structure is most stable, and how do the rest compare? From most to least stable: 1, 2.



--- 1 ---
Compound: TaGe3S
Source: Alexandria
Functional: PBE-GGA
Structure: relaxed

Output
- calculated volume (Å³/atom) = 20.25
- mass density (g cm⁻³) = 7.07
- magnetic moment (μB/cell) = 0.00
- density of states at the Fermi level (states/eV per cell) = 4.34

The structure in CIF format:
```
data_TaGe3S
_chemical_formula_sum 'Ta1 Ge3 S1'
_cell_length_a 4.6611
_cell_length_b 4.6611
_cell_length_c 4.6611
_cell_angle_alpha 90.00
_cell_angle_beta 90.00
_cell_angle_gamma 90.00
_symmetry_space_group_name_H-M 'P m -3 m'
_symmetry_Int_Tables_number 221
_symmetry_space_group_name_Hall '-P 4 2 3'
loop_
_atom_site_label
_atom_site_fract_x
_atom_site_fract_y
_atom_site_fract_z
Ta1 0.0000 0.0000 0.0000
Ge1 0.0000 0.5000 0.5000
S1 0.5000 0.5000 0.5000
```



--- 2 ---
Compound: TaGe3S
Source: Alexandria
Functional: PBE-GGA
Structure: relaxed

Output
- calculated volume (Å³/atom) = 25.66
- mass density (g cm⁻³) = 5.58
- magnetic moment (μB/cell) = 1.86
- density of states at the Fermi level (states/eV per cell) = 3.41

The structure in CIF format:
```
data_TaGe3S
_chemical_formula_sum 'Ta1 Ge3 S1'
_cell_length_a 5.0435
_cell_length_b 5.0435
_cell_length_c 5.0435
_cell_angle_alpha 90.00
_cell_angle_beta 90.00
_cell_angle_gamma 90.00
_symmetry_space_group_name_H-M 'P m -3 m'
_symmetry_Int_Tables_number 221
_symmetry_space_group_name_Hall '-P 4 2 3'
loop_
_atom_site_label
_atom_site_fract_x
_atom_site_fract_y
_atom_site_fract_z
Ta1 0.0000 0.0000 0.0000
Ge1 0.0000 0.0000 0.5000
S1 0.5000 0.5000 0.5000
```



Which structure is most stable, and how do the rest compare? From most to least stable: 2, 1.